Entry 1:
Here is a relaxed structure of FeMoRu4 from the Alexandria database. Energies are from PBE.

- volume (Å³ per cell) = 90.2
- calculated total energy (eV for the cell shown) = -53.75
- size of the total moment (μB/f.u.) = 3.9
- SG = F-43m (216)
- ρ (Mg/m³) = 10.2
- DOS at the Fermi energy (states/eV per cell) = 7.765

```
6
Lattice="0.000 3.559 3.559 3.559 0.000 3.559 3.559 3.559 0.000" Properties=species:S:1:pos:R:3 pbc="T T T"
Fe 0.000 0.000 0.000
Mo 5.339 5.339 5.339
Ru 2.667 2.667 2.667
Ru 4.451 4.451 2.667
Ru 4.451 2.667 4.451
Ru 2.667 4.451 4.451
```

=====

Entry 2:
Here is a relaxed structure of AgPt3 from the Alexandria database. Energies are from PBE.

- volume (Å³ per cell) = 64.3
- calculated total energy (eV for the cell shown) = -20.87
- size of the total moment (μB/f.u.) = 0.0
- SG = Imm2 (44)
- ρ (Mg/m³) = 17.9
- DOS at the Fermi energy (states/eV per cell) = 5.416

```
4
Lattice="-1.387 4.706 2.464 1.387 -4.706 2.464 1.387 4.706 -2.464" Properties=species:S:1:pos:R:3 pbc="T T T"
Ag 0.000 0.000 0.000
Pt 1.387 2.393 -0.881
Pt 0.000 4.706 0.028
Pt 0.000 2.313 1.583
```

=====

Entry 3:
Here is a relaxed structure of NdErAlRu from the Alexandria database. Energies are from PBE.

- volume (Å³ per cell) = 89.5
- calculated total energy (eV for the cell shown) = -23.44
- size of the total moment (μB/f.u.) = 0.0
- SG = F-43m (216)
- ρ (Mg/m³) = 8.2
- DOS at the Fermi energy (states/eV per cell) = 2.576

```
4
Lattice="0.000 3.550 3.550 3.550 0.000 3.550 3.550 3.550 0.000" Properties=species:S:1:pos:R:3 pbc="T T T"
Nd 0.000 0.000 0.000
Er 3.550 3.550 3.550
Al 5.325 5.325 5.325
Ru 1.775 1.775 1.775
```

=====

Entry 4:
Here is a relaxed structure of Nd8SmAl2 from the Alexandria database. Energies are from PBE.

- volume (Å³ per cell) = 359.5
- calculated total energy (eV for the cell shown) = -50.37
- size of the total moment (μB/f.u.) = 0.0
- SG = C2/m (12)
- ρ (Mg/m³) = 6.3
- DOS at the Fermi energy (states/eV per cell) = 14.206

```
11
Lattice="4.469 -7.503 0.000 4.469 7.503 0.000 -2.404 0.000 5.361" Properties=species:S:1:pos:R:3 pbc="T T T"
Nd 0.366 1.774 3.254
Nd 4.469 4.097 0.000
Nd 0.366 -1.774 3.254
Nd 3.143 0.000 1.099
Nd 3.392 0.000 4.262
Nd 6.169 1.774 2.106
Nd 4.469 -4.097 0.000
Nd 6.169 -1.774 2.106
Sm 0.000 0.000 0.000
Al 3.268 2.902 2.680
Al 3.268 -2.902 2.680
```

=====

Entry 5:
Here is a relaxed structure of Y4Tm3Mg from the Alexandria database. Energies are from PBE.

- volume (Å³ per cell) = 248.2
- calculated total energy (eV for the cell shown) = -40.30
- energy above the lowest structure with this stoichiometry (eV per atom) = 0.072
- size of the total moment (μB/f.u.) = 0.0
- SG = C2/m (12)
- ρ (Mg/m³) = 5.9
- DOS at the Fermi energy (states/eV per cell) = 12.059

```
8
Lattice="11.943 -1.820 0.000 11.943 1.820 0.000 -0.469 0.000 5.709" Properties=species:S:1:pos:R:3 pbc="T T T"
Y 2.579 0.000 1.187
Y 8.541 0.000 1.624
Y 14.876 0.000 4.085
Y 20.838 0.000 4.522
Tm 5.982 0.000 4.308
Tm 11.943 0.000 0.000
Tm 17.435 0.000 1.401
Mg -0.235 0.000 2.854
```

=====

Entry 6:
Here is a relaxed structure of Mg2In2SiPd4 from the Alexandria database. Energies are from PBE.

- volume (Å³ per cell) = 164.0
- calculated total energy (eV for the cell shown) = -38.24
- formation energy from raw total energies (eV/atom) = -0.376
- size of the total moment (μB/f.u.) = 0.0
- SG = I4/mmm (139)
- ρ (Mg/m³) = 7.4
- DOS at the Fermi energy (states/eV per cell) = 3.183

```
9
Lattice="-3.110 3.110 4.240 3.110 -3.110 4.240 3.110 3.110 -4.240" Properties=species:S:1:pos:R:3 pbc="T T T"
Mg 0.000 0.000 1.690
Mg 0.000 0.000 6.790
In 3.110 0.000 2.120
In 0.000 3.110 2.120
Si 0.000 0.000 4.240
Pd 1.476 1.476 0.000
Pd 1.634 -1.634 4.240
Pd -1.634 1.634 4.240
Pd 1.634 1.634 4.240
```

=====

Entry 7:
Here is a relaxed structure of ZnAs2Pb from the Alexandria database. Energies are from PBE.

- volume (Å³ per cell) = 90.0
- calculated total energy (eV for the cell shown) = -13.14
- size of the total moment (μB/f.u.) = 0.0
- SG = Cmmm (65)
- ρ (Mg/m³) = 7.8
- DOS at the Fermi energy (states/eV per cell) = 1.767

```
4
Lattice="2.932 -3.874 0.000 2.932 3.874 0.000 0.000 0.000 3.961" Properties=species:S:1:pos:R:3 pbc="T T T"
Zn 0.000 0.000 0.000
As 1.466 1.937 1.981
As 1.466 -1.937 1.981
Pb 2.932 0.000 0.000
```